[1]
Crystalline ScInS2 at its relaxed geometry, computed with PBE.

Output
Energy, eV/atom: -5.63
Spin magnetization, μB/f.u.: 0.00

Unit cell a=3.7629 b=3.7629 c=7.7587 alpha=75.97 beta=75.97 gamma=60.00
Fractional coordinates of all 4 atoms:
In 0.5000 0.5000 0.5000
Sc 0.0000 0.0000 0.0000
S 0.2690 0.2690 0.1929
S 0.7310 0.7310 0.8071



[2]
Crystalline Sc2In2S at its relaxed geometry, computed with PBE.

Output
DOS at the Fermi energy, states/eV/atom: 0.3644
Energy, eV/atom: -5.24
Spin magnetization, μB/f.u.: 0.00

Unit cell a=6.7830 b=6.7830 c=4.9540 alpha=90.00 beta=90.00 gamma=90.00
Fractional coordinates of all 10 atoms:
In 0.6505 0.8495 0.5000
In 0.3495 0.1505 0.5000
In 0.1505 0.6505 0.5000
In 0.8495 0.3495 0.5000
S 0.0000 0.0000 0.0000
S 0.5000 0.5000 0.0000
Sc 0.8330 0.6670 0.0000
Sc 0.3330 0.8330 0.0000
Sc 0.1670 0.3330 0.0000
Sc 0.6670 0.1670 0.0000



[3]
Crystalline ScIn3S6 at its relaxed geometry, computed with PBE.

Output
Energy, eV/atom: -4.74
Spin magnetization, μB/f.u.: 0.00

Unit cell a=3.8289 b=11.1920 c=10.7046 alpha=111.09 beta=90.00 gamma=90.00
Fractional coordinates of all 20 atoms:
S 0.7500 0.7572 0.2690
S 0.2500 0.0708 0.9026
S 0.7500 0.9292 0.0974
S 0.2500 0.6021 0.9346
S 0.7500 0.8085 0.7388
S 0.2500 0.1915 0.2612
S 0.2500 0.9085 0.5393
S 0.7500 0.0915 0.4607
S 0.7500 0.3979 0.0654
S 0.2500 0.5458 0.3939
S 0.2500 0.2428 0.7310
S 0.7500 0.4542 0.6061
In 0.7500 0.1653 0.0901
In 0.2500 0.8347 0.9099
In 0.2500 0.5702 0.1658
In 0.7500 0.4298 0.8342
In 0.2500 0.2972 0.5161
In 0.7500 0.7028 0.4839
Sc 0.7500 0.0439 0.6902
Sc 0.2500 0.9561 0.3098



[4]
Crystalline Sc8InS4 at its relaxed geometry, computed with PBE.

Output
DOS at the Fermi energy, states/eV/atom: 0.5490
Energy, eV/atom: -6.57
Spin magnetization, μB/f.u.: 0.00

Unit cell a=3.6243 b=8.8175 c=8.8225 alpha=87.53 beta=78.15 gamma=78.14
Fractional coordinates of all 13 atoms:
Sc 0.5611 0.6113 0.2665
Sc 0.1838 0.7032 0.9292
Sc 0.8476 0.3002 0.0046
Sc 0.1699 0.3022 0.3581
Sc 0.8850 0.9646 0.2654
Sc 0.4703 0.3921 0.6672
Sc 0.8615 0.7013 0.5757
Sc 0.1464 0.0388 0.6683
S 0.3597 0.8452 0.4354
S 0.8284 0.5329 0.8103
S 0.6717 0.1583 0.4983
S 0.2030 0.4704 0.1235
In 0.5158 0.0016 0.9668



[5]
Crystalline Sc2In2S at its relaxed geometry, computed with PBE.

Output
DOS at the Fermi energy, states/eV/atom: 0.5155
Energy, eV/atom: -5.35
Spin magnetization, μB/f.u.: 0.00

Unit cell a=3.5232 b=3.5247 c=10.7845 alpha=80.49 beta=80.60 gamma=60.01
Fractional coordinates of all 5 atoms:
Sc 0.2865 0.7851 0.6419
Sc 0.7135 0.2149 0.3581
In 0.5464 0.0423 0.8649
In 0.4536 0.9577 0.1351
S 0.0000 0.5000 0.5000



[6]
Crystalline ScIn3S6 at its relaxed geometry, computed with PBE.

Output
Energy, eV/atom: -4.78
Spin magnetization, μB/f.u.: 0.00

Unit cell a=6.6165 b=6.6165 c=7.0575 alpha=62.05 beta=62.05 gamma=60.00
Fractional coordinates of all 10 atoms:
In 0.1460 0.1460 0.5621
In 0.6435 0.6435 0.0694
In 0.3528 0.3528 0.9415
Sc 0.8499 0.8499 0.4502
S 0.4554 0.7491 0.7447
S 0.9515 0.5594 0.2476
S 0.2416 0.9515 0.2476
S 0.7491 0.0509 0.7447
S 0.5594 0.2416 0.2476
S 0.0509 0.4554 0.7447